Entry 1:
## NbOsNF2 (PBE)

Data for a relaxed structure of NbOsNF2.

The structure in POSCAR format:
```
NbOsNF2
1.0
4.126 0.000 0.000
0.000 4.126 0.000
0.000 0.000 4.138
Nb Os N F
1 1 1 2
Direct
0.000 0.000 0.000
0.500 0.500 0.500
0.000 0.000 0.500
0.000 0.500 0.000
0.500 0.000 0.000
```

Space group ... P4/mmm
Calculated density ... 7899 kg/m³
Raw total energy ... -33.04 eV/cell
Crystal system ... tetragonal
Energy relative to the lowest polymorph listed for this composition ... 0 meV per atom


Entry 2:
## NbOsN2F (PBE)

Data for a relaxed structure of NbOsN2F.

The structure in POSCAR format:
```
NbOsN2F
1.0
3.877 0.000 0.000
0.000 3.877 0.000
0.000 0.000 4.191
Nb Os N F
1 1 2 1
Direct
0.000 0.000 0.000
0.500 0.500 0.500
0.000 0.500 0.500
0.500 0.000 0.500
0.500 0.500 0.000
```

Space group ... P4/mmm
Calculated density ... 8703 kg/m³
Raw total energy ... -36.90 eV/cell
Crystal system ... tetragonal
Energy relative to the lowest polymorph listed for this composition ... 0 meV per atom


no.,ΔE_f (raw) (eV/f.u.)
1,0.33
2,2.92